Below is a relaxed Ba2In4PtAu crystal, with properties calculated at the PBE level.

Structure (POSCAR):
```
Ba2In4PtAu
1.0
8.071 0.000 0.000
0.000 2.318 5.954
0.000 -2.318 5.954
Ba In Pt Au
2 4 1 1
direct
0.000 0.000 0.000 Ba
0.500 0.111 0.111 Ba
0.200 0.713 0.713 In
0.310 0.397 0.397 In
0.690 0.397 0.397 In
0.800 0.713 0.713 In
0.500 0.834 0.834 Pt
0.000 0.281 0.281 Au
```

* total magnetic moment: 0.004 Bohr magnetons per cell
* calculated total energy: -0.1317 Ha/atom
* symmetry: No. 38

***

Below is a relaxed Zr3BiC2 crystal, with properties calculated at the PBE level.

Structure (POSCAR):
```
Zr3BiC2
1.0
3.424 0.000 0.000
-1.712 2.965 0.000
0.000 0.000 20.069
Zr Bi C
6 2 4
direct
0.000 0.000 0.000 Zr
0.000 0.000 0.500 Zr
0.333 0.667 0.127 Zr
0.333 0.667 0.373 Zr
0.667 0.333 0.627 Zr
0.667 0.333 0.873 Zr
0.000 0.000 0.250 Bi
0.000 0.000 0.750 Bi
0.333 0.667 0.570 C
0.333 0.667 0.930 C
0.667 0.333 0.070 C
0.667 0.333 0.430 C
```

* total magnetic moment: 0.004 Bohr magnetons per cell
* calculated total energy: -0.3214 Ha/atom
* symmetry: No. 194

***

Below is a relaxed YHoZn crystal, with properties calculated at the PBE level.

Structure (POSCAR):
```
YHoZn
1.0
6.786 0.000 0.000
0.000 4.995 0.000
0.000 0.000 9.036
Y Ho Zn
4 4 4
direct
0.016 0.250 0.192 Y
0.484 0.750 0.692 Y
0.516 0.250 0.308 Y
0.984 0.750 0.808 Y
0.165 0.250 0.576 Ho
0.335 0.750 0.076 Ho
0.665 0.250 0.924 Ho
0.835 0.750 0.424 Ho
0.229 0.250 0.900 Zn
0.271 0.750 0.400 Zn
0.729 0.250 0.600 Zn
0.771 0.750 0.100 Zn
```

* calculated formation energy: -0.246 eV per atom
* total magnetic moment: 0.044 Bohr magnetons per cell
* symmetry: No. 62
* energy relative to the lowest polymorph listed for this composition: 0.000 eV per atom

***

The highest total magnetic moment belongs to which entry?
YHoZn

***

Which value of total magnetic moment does entry 2 give?
0.004 Bohr magnetons per cell